Here is a geometry-optimized Mg7Sc3 structure from Alexandria. Energies are from GGA-PBE.

a b c (Å): 15.5449 4.9776 6.2308
angles (deg): 90.00 107.96 90.00
Space group C2/m (No. 12)
One atom of each set of equivalent atoms:
Mg (0.0000, 0.0000, 0.0000)
Mg (0.0973, 0.5000, 0.3836)
Mg (0.1043, 0.5000, 0.8877)
Mg (0.1998, 0.0000, 0.7956)
Sc (0.0000, 0.0000, 0.5000)
Sc (0.2034, 0.0000, 0.2989)

The value obtained for the formation energy is -0.029 eV/atom. For the magnetic moment, the calculation gives 0.00 μB/f.u. Its energy is -3.04 eV/atom.



Here is a geometry-optimized LiLaMg2Rh structure from Alexandria. Energies are from GGA-PBE.

a b c (Å): 4.9740 4.9740 4.8218
angles (deg): 90.00 90.00 90.00
Space group P4/mmm (No. 123)
One atom of each set of equivalent atoms:
Li (0.0000, 0.0000, 0.0000)
La (0.5000, 0.5000, 0.0000)
Mg (0.0000, 0.5000, 0.5000)
Rh (0.0000, 0.0000, 0.5000)

The value obtained for the formation energy is -0.108 eV/atom. For the magnetic moment, the calculation gives 0.00 μB/f.u. The energy above the lowest structure with this stoichiometry comes out at 0.52 eV per formula unit. Its energy is -3.58 eV/atom.



Here is a geometry-optimized YPaNb4 structure from Alexandria. Energies are from GGA-PBE.

a b c (Å): 8.0438 8.0438 8.0438
angles (deg): 90.00 90.00 90.00
Space group F-43m (No. 216)
One atom of each set of equivalent atoms:
Y (0.0000, 0.0000, 0.0000)
Pa (0.2500, 0.2500, 0.2500)
Nb (0.1244, 0.1244, 0.6244)

The value obtained for the formation energy is 0.153 eV/atom. For the magnetic moment, the calculation gives 0.00 μB/f.u. Its energy is -9.22 eV/atom.



Here is a geometry-optimized SbAuCl2 structure from Alexandria. Energies are from GGA-PBE.

a b c (Å): 9.8683 9.8683 5.2171
angles (deg): 90.00 90.00 90.00
Space group I-42d (No. 122)
One atom of each set of equivalent atoms:
Sb (0.0000, 0.0000, 0.0000)
Au (0.0000, 0.0000, 0.5000)
Cl (0.1051, 0.2500, 0.1250)

For the magnetic moment, the calculation gives 0.00 μB/f.u. The energy above the lowest structure with this stoichiometry comes out at 0.71 eV per formula unit. Its energy is -3.04 eV/atom.



Here is a geometry-optimized Tl2CuBrCl2 structure from Alexandria. Energies are from GGA-PBE.

a b c (Å): 13.5638 9.2398 6.6036
angles (deg): 90.00 90.00 90.00
Space group Cmc2_1 (No. 36)
One atom of each set of equivalent atoms:
Tl (0.1567, 0.1617, 0.0000)
Cu (0.0000, 0.3306, 0.4340)
Br (0.0000, 0.4139, 0.0778)
Cl (0.1396, 0.1966, 0.5174)

For the magnetic moment, the calculation gives 0.06 μB/f.u. Its energy is -3.09 eV/atom.



Here is a geometry-optimized LiLaMn2 structure from Alexandria. Energies are from GGA-PBE.

a b c (Å): 3.1681 3.1681 7.8512
angles (deg): 90.00 90.00 90.00
Space group P4mm (No. 99)
One atom of each set of equivalent atoms:
Li (0.0000, 0.0000, 0.0000)
La (0.5000, 0.5000, 0.6523)
Mn (0.0000, 0.0000, 0.3590)
Mn (0.5000, 0.5000, 0.2236)

The value obtained for the formation energy is 0.271 eV/atom. For the magnetic moment, the calculation gives 0.86 μB/f.u. The energy above the lowest structure with this stoichiometry comes out at 0.00 eV per formula unit. Its energy is -6.02 eV/atom.



Here is a geometry-optimized Np2TiS6 structure from Alexandria. Energies are from GGA-PBE.

a b c (Å): 6.1357 6.1357 11.5620
angles (deg): 90.00 90.00 90.00
Space group P4_2/mnm (No. 136)
One atom of each set of equivalent atoms:
Np (0.0000, 0.0000, 0.1720)
Ti (0.0000, 0.0000, 0.5000)
S (0.1915, 0.1915, 0.3492)
S (0.2040, 0.2040, 0.0000)

For the magnetic moment, the calculation gives 6.00 μB/f.u. Its energy is -7.64 eV/atom.



Here is a geometry-optimized Rb2EuF4 structure from Alexandria. Energies are from GGA-PBE.

a b c (Å): 4.7568 4.7568 14.5070
angles (deg): 90.00 90.00 90.00
Space group I4/mmm (No. 139)
One atom of each set of equivalent atoms:
Rb (0.0000, 0.0000, 0.1499)
Eu (0.0000, 0.0000, 0.5000)
F (0.0000, 0.0000, 0.3350)
F (0.0000, 0.5000, 0.0000)

For the magnetic moment, the calculation gives 6.90 μB/f.u. Its energy is -5.93 eV/atom.



Here is a geometry-optimized RbSi2Bi structure from Alexandria. Energies are from GGA-PBE.

a b c (Å): 8.4309 8.4309 7.1473
angles (deg): 90.00 90.00 90.00
Space group I-42d (No. 122)
One atom of each set of equivalent atoms:
Rb (0.0000, 0.0000, 0.0000)
Si (0.1920, 0.2500, 0.6250)
Bi (0.0000, 0.0000, 0.5000)

For the magnetic moment, the calculation gives 0.00 μB/f.u. Its energy is -3.37 eV/atom.



Here is a geometry-optimized Ba3TbPt2O6 structure from Alexandria. Energies are from GGA-PBE.

a b c (Å): 6.0061 6.0061 6.9927
angles (deg): 90.00 90.00 120.00
Space group P-3m1 (No. 164)
One atom of each set of equivalent atoms:
Ba (0.0000, 0.0000, 0.0000)
Ba (0.3333, 0.6667, 0.6521)
Tb (0.0000, 0.0000, 0.5000)
Pt (0.3333, 0.6667, 0.1375)
O (0.1703, 0.3406, 0.3091)

For the magnetic moment, the calculation gives 0.00 μB/f.u. Its energy is -6.10 eV/atom.



Here is a geometry-optimized Ce4PmTh15 structure from Alexandria. Energies are from GGA-PBE.

a b c (Å): 4.9983 4.9983 24.9020
angles (deg): 90.00 90.00 90.00
Space group P4/mmm (No. 123)
One atom of each set of equivalent atoms:
Ce (0.0000, 0.0000, 0.0993)
Ce (0.0000, 0.0000, 0.2979)
Pm (0.0000, 0.0000, 0.5000)
Th (0.0000, 0.5000, 0.0000)
Th (0.0000, 0.5000, 0.1984)
Th (0.0000, 0.5000, 0.3969)
Th (0.5000, 0.5000, 0.0991)
Th (0.5000, 0.5000, 0.2970)
Th (0.5000, 0.5000, 0.5000)

The value obtained for the formation energy is 0.015 eV/atom. For the magnetic moment, the calculation gives 0.00 μB/f.u. Its energy is -6.97 eV/atom.



Here is a geometry-optimized CaBe2As structure from Alexandria. Energies are from GGA-PBE.

a b c (Å): 3.2932 3.2932 6.2620
angles (deg): 90.00 90.00 90.00
Space group P4/mmm (No. 123)
One atom of each set of equivalent atoms:
Ca (0.0000, 0.0000, 0.0000)
Be (0.5000, 0.5000, 0.3314)
As (0.0000, 0.0000, 0.5000)

The value obtained for the formation energy is 0.205 eV/atom. For the magnetic moment, the calculation gives 0.00 μB/f.u. Its energy is -3.32 eV/atom.



Here is a geometry-optimized GdZn2Ge structure from Alexandria. Energies are from GGA-PBE.

a b c (Å): 3.1387 3.1387 30.7120
angles (deg): 90.00 90.00 120.00
Space group R-3m (No. 166, hexagonal axes)
One atom of each set of equivalent atoms:
Gd (0.0000, 0.0000, 0.0000)
Zn (0.0000, 0.0000, 0.0970)
Ge (0.0000, 0.0000, 0.5000)

The value obtained for the formation energy is 0.340 eV/atom. For the magnetic moment, the calculation gives 7.49 μB/f.u. The energy above the lowest structure with this stoichiometry comes out at 2.94 eV per formula unit. Its energy is -4.97 eV/atom.



Here is a geometry-optimized TcPHOs structure from Alexandria. Energies are from GGA-PBE.

a b c (Å): 2.9535 3.7505 4.3503
angles (deg): 90.00 108.88 90.00
Space group Pm (No. 6)
One atom of each set of equivalent atoms:
Tc (0.0000, 0.0000, 0.0000)
P (0.5642, 0.5000, 0.1425)
H (0.1496, 0.0000, 0.5885)
Os (0.2725, 0.5000, 0.5744)

For the magnetic moment, the calculation gives 0.00 μB/f.u. The energy above the lowest structure with this stoichiometry comes out at 0.14 eV per formula unit. Its energy is -7.62 eV/atom.



Here is a geometry-optimized AlSiAs2 structure from Alexandria. Energies are from GGA-PBE.

a b c (Å): 2.9221 2.9221 8.9206
angles (deg): 90.00 90.00 90.00
Space group P4mm (No. 99)
One atom of each set of equivalent atoms:
Al (0.0000, 0.0000, 0.0000)
Si (0.5000, 0.5000, 0.7962)
As (0.0000, 0.0000, 0.6025)
As (0.5000, 0.5000, 0.2158)

For the magnetic moment, the calculation gives 0.00 μB/f.u. The energy above the lowest structure with this stoichiometry comes out at 1.32 eV per formula unit. Its energy is -4.34 eV/atom.



Here is a geometry-optimized LaHo12Sc7 structure from Alexandria. Energies are from GGA-PBE.

a b c (Å): 14.6123 14.6123 9.5958
angles (deg): 90.00 90.00 120.00
Space group R-3 (No. 148, hexagonal axes)
One atom of each set of equivalent atoms:
La (0.0000, 0.0000, 0.0000)
Ho (0.0124, 0.2447, 0.9262)
Ho (0.0724, 0.8176, 0.4419)
Sc (0.0000, 0.0000, 0.5000)
Sc (0.0198, 0.8641, 0.7468)

The value obtained for the formation energy is 0.181 eV/atom. For the magnetic moment, the calculation gives 0.00 μB/f.u. Its energy is -5.03 eV/atom.



Here is a geometry-optimized AcNd2Ag2 structure from Alexandria. Energies are from GGA-PBE.

a b c (Å): 3.8360 5.5539 14.2772
angles (deg): 90.00 97.67 90.00
Space group P2_1/m (No. 11)
One atom of each set of equivalent atoms:
Ac (0.1433, 0.2500, 0.2870)
Nd (0.0475, 0.7500, 0.0947)
Nd (0.2341, 0.7500, 0.4670)
Ag (0.3580, 0.2500, 0.7162)
Ag (0.4580, 0.7500, 0.9155)

The value obtained for the formation energy is -0.183 eV/atom. For the magnetic moment, the calculation gives 0.00 μB/f.u. The energy above the lowest structure with this stoichiometry comes out at 0.00 eV per formula unit. Its energy is -4.05 eV/atom.



Here is a geometry-optimized KRe2Tc structure from Alexandria. Energies are from GGA-PBE.

a b c (Å): 2.8002 2.8002 9.6940
angles (deg): 90.00 90.00 90.00
Space group P4mm (No. 99)
One atom of each set of equivalent atoms:
K (0.0000, 0.0000, 0.0000)
Re (0.0000, 0.0000, 0.4996)
Re (0.5000, 0.5000, 0.3085)
Tc (0.5000, 0.5000, 0.6863)

The value obtained for the formation energy is 0.839 eV/atom. For the magnetic moment, the calculation gives 0.00 μB/f.u. The energy above the lowest structure with this stoichiometry comes out at 0.48 eV per formula unit. Its energy is -8.25 eV/atom.



Here is a geometry-optimized Sm2PuSi4Pt3 structure from Alexandria. Energies are from GGA-PBE.

a b c (Å): 4.2358 4.2358 10.9510
angles (deg): 90.00 90.00 90.00
Space group P-4m2 (No. 115)
One atom of each set of equivalent atoms:
Sm (0.0000, 0.5000, 0.2309)
Pu (0.0000, 0.0000, 0.5000)
Si (0.0000, 0.0000, 0.0000)
Si (0.0000, 0.5000, 0.6706)
Si (0.5000, 0.5000, 0.0000)
Pt (0.0000, 0.5000, 0.8902)
Pt (0.5000, 0.5000, 0.5000)

For the magnetic moment, the calculation gives 5.26 μB/f.u. Its energy is -7.20 eV/atom.



Here is a geometry-optimized Ca2ZnIn structure from Alexandria. Energies are from GGA-PBE.

a b c (Å): 3.6660 3.7883 7.7213
angles (deg): 90.00 90.00 90.00
Space group Pmmm (No. 47)
One atom of each set of equivalent atoms:
Ca (0.0000, 0.0000, 0.2339)
Zn (0.5000, 0.5000, 0.0000)
In (0.5000, 0.5000, 0.5000)

The value obtained for the formation energy is -0.357 eV/atom. For the magnetic moment, the calculation gives 0.00 μB/f.u. Its energy is -2.36 eV/atom.



Here is a geometry-optimized MnCuMo2 structure from Alexandria. Energies are from GGA-PBE.

a b c (Å): 8.9417 2.6397 4.8295
angles (deg): 90.00 97.41 90.00
Space group Cm (No. 8)
One atom of each set of equivalent atoms:
Mn (0.0000, 0.0000, 0.0000)
Cu (0.2601, 0.0000, 0.7604)
Mo (0.0140, 0.5000, 0.5224)
Mo (0.2504, 0.5000, 0.2462)

The value obtained for the formation energy is 0.255 eV/atom. For the magnetic moment, the calculation gives 2.31 μB/f.u. The energy above the lowest structure with this stoichiometry comes out at 0.27 eV per formula unit. Its energy is -8.48 eV/atom.



Here is a geometry-optimized La2TbPr3Sm6 structure from Alexandria. Energies are from GGA-PBE.

a b c (Å): 6.3569 11.0116 12.1325
angles (deg): 90.00 100.09 90.00
Space group C2/m (No. 12)
One atom of each set of equivalent atoms:
La (0.0000, 0.1666, 0.0000)
Tb (0.0000, 0.5000, 0.0000)
Pr (0.0000, 0.0000, 0.5000)
Pr (0.0000, 0.3334, 0.5000)
Sm (0.2490, 0.3339, 0.2497)
Sm (0.2491, 0.5000, 0.7502)

The value obtained for the formation energy is 0.015 eV/atom. For the magnetic moment, the calculation gives 0.00 μB/f.u. Its energy is -4.75 eV/atom.



Here is a geometry-optimized LaPrSm2Dy structure from Alexandria. Energies are from GGA-PBE.

a b c (Å): 8.9241 6.5314 6.4442
angles (deg): 90.00 105.48 90.00
Space group P2/c (No. 13)
One atom of each set of equivalent atoms:
La (0.0000, 0.0000, 0.0000)
Pr (0.5000, 0.1606, 0.2500)
Sm (0.3161, 0.3269, 0.6692)
Dy (0.0000, 0.4690, 0.2500)

The value obtained for the formation energy is 0.262 eV/atom. For the magnetic moment, the calculation gives 0.00 μB/f.u. Its energy is -4.49 eV/atom.